# 1
Entry from Alexandria via LeMat-Bulk: a relaxed AlCoHg2Au crystal (PBE).

- ΔE_f (kJ per mole of atoms) = 74.1
- E_tot (eV per atom) = -2.18

Structure (POSCAR):
```
AlCoHg2Au
1.0
5.0660 0.0000 0.0000
0.0000 5.0660 0.0000
0.0000 0.0000 4.5219
Al Co Hg Au
1 1 2 1
Direct
0.0000 0.0000 0.0000 Al
0.0000 0.0000 0.5000 Co
0.0000 0.5000 0.0000 Hg
0.5000 0.0000 0.0000 Hg
0.5000 0.5000 0.5000 Au
```

# 2
Entry from Alexandria via LeMat-Bulk: a relaxed La6Hg2HN crystal (PBE).

- E_tot (eV per atom) = -4.76

Structure (POSCAR):
```
La6Hg2HN
1.0
5.1006 -5.1041 0.0000
5.1006 5.1041 0.0000
-5.0909 0.0000 5.1008
La Hg H N
6 2 1 1
Direct
0.2421 0.2421 0.4849 La
0.2435 0.2435 0.0011 La
0.2426 0.7574 0.0000 La
0.7574 0.2426 0.0000 La
0.7565 0.7565 0.9989 La
0.7579 0.7579 0.5151 La
0.2503 0.7497 0.5000 Hg
0.7497 0.2503 0.5000 Hg
0.5000 0.5000 0.0000 H
0.0000 0.0000 0.0000 N
```

# 3
Entry from Alexandria via LeMat-Bulk: a relaxed BaZnRh3 crystal (PBE).

- ΔE_f (kJ per mole of atoms) = 34.8
- E_tot (eV per atom) = -4.69

Structure (POSCAR):
```
BaZnRh3
1.0
4.7551 0.0000 0.0000
0.0000 4.7551 0.0000
0.0000 0.0000 4.7551
Ba Zn Rh
1 1 3
Direct
0.0000 0.0000 0.0000 Ba
0.5000 0.5000 0.5000 Zn
0.0000 0.5000 0.5000 Rh
0.5000 0.0000 0.5000 Rh
0.5000 0.5000 0.0000 Rh
```

# 4
Entry from Alexandria via LeMat-Bulk: a relaxed Cs3NpAu2S6 crystal (PBE).

- formation energy (no corrections) (eV/atom) = -0.78
- E_tot (eV per atom) = -4.69

Structure (POSCAR):
```
Cs3NpAu2S6
1.0
7.5813 0.0000 0.0000
-3.7907 6.5656 0.0000
0.0000 0.0000 8.9870
Cs Np Au S
3 1 2 6
Direct
0.0000 0.0000 0.0000 Cs
0.3333 0.6667 0.7022 Cs
0.6667 0.3333 0.2978 Cs
0.0000 0.0000 0.5000 Np
0.3333 0.6667 0.3187 Au
0.6667 0.3333 0.6813 Au
0.1527 0.3054 0.3207 S
0.1527 0.8473 0.3207 S
0.3054 0.1527 0.6793 S
0.6946 0.8473 0.3207 S
0.8473 0.1527 0.6793 S
0.8473 0.6946 0.6793 S
```

# 5
Entry from Alexandria via LeMat-Bulk: a relaxed Ac8Ho3 crystal (PBE).

- ΔE_f (kJ per mole of atoms) = 39.5
- E_tot (eV per atom) = -3.83

Structure (POSCAR):
```
Ac8Ho3
1.0
6.5482 3.7806 3.2342
-6.5482 3.7806 3.2342
0.0000 -7.5612 3.2342
Ac Ho
8 3
Direct
0.1891 0.5840 0.7016 Ac
0.2316 0.2316 0.2316 Ac
0.2984 0.8109 0.4160 Ac
0.4160 0.2984 0.8109 Ac
0.5840 0.7016 0.1891 Ac
0.7016 0.1891 0.5840 Ac
0.7684 0.7684 0.7684 Ac
0.8109 0.4160 0.2984 Ac
0.0000 0.0000 0.5000 Ho
0.0000 0.5000 0.0000 Ho
0.5000 0.0000 0.0000 Ho
```

# 6
Entry from Alexandria via LeMat-Bulk: a relaxed Sr2InAg3Bi4 crystal (PBE).

- ΔE_f (kJ per mole of atoms) = -28.4
- E_tot (eV per atom) = -3.31

Structure (POSCAR):
```
Sr2InAg3Bi4
1.0
5.0007 0.0000 0.0000
0.0000 5.0007 0.0000
0.0000 0.0000 12.2789
Sr In Ag Bi
2 1 3 4
Direct
0.0000 0.5000 0.2387 Sr
0.5000 0.0000 0.7613 Sr
0.0000 0.0000 0.5000 In
0.0000 0.5000 0.8682 Ag
0.5000 0.0000 0.1318 Ag
0.5000 0.5000 0.5000 Ag
0.0000 0.0000 0.0000 Bi
0.0000 0.5000 0.6406 Bi
0.5000 0.0000 0.3594 Bi
0.5000 0.5000 0.0000 Bi
```

# 7
Entry from Alexandria via LeMat-Bulk: a relaxed LiPr2OsC crystal (PBE).

- ΔE_f (kJ per mole of atoms) = -14.0
- E_tot (eV per atom) = -6.53

Structure (POSCAR):
```
LiPr2OsC
1.0
5.2854 0.0000 0.0000
0.0000 5.2854 0.0000
0.0000 0.0000 3.9319
Li Pr Os C
1 2 1 1
Direct
0.0000 0.0000 0.0000 Li
0.0000 0.5000 0.5000 Pr
0.5000 0.0000 0.5000 Pr
0.5000 0.5000 0.0000 Os
0.5000 0.5000 0.5000 C
```

# 8
Entry from Alexandria via LeMat-Bulk: a relaxed ZrV4Pt crystal (PBE).

- ΔE_f (kJ per mole of atoms) = -16.1
- E_tot (eV per atom) = -8.68

Structure (POSCAR):
```
ZrV4Pt
1.0
0.0000 3.5733 3.5733
3.5733 0.0000 3.5733
3.5733 3.5733 0.0000
Zr V Pt
1 4 1
Direct
0.0000 0.0000 0.0000 Zr
0.1209 0.6264 0.6264 V
0.6264 0.1209 0.6264 V
0.6264 0.6264 0.1209 V
0.6264 0.6264 0.6264 V
0.2500 0.2500 0.2500 Pt
```

# 9
Entry from Alexandria via LeMat-Bulk: a relaxed SrMnBe crystal (PBE).

- ΔE_f (kJ per mole of atoms) = 137.1
- E_tot (eV per atom) = -3.44

Structure (POSCAR):
```
SrMnBe
1.0
0.0000 3.5011 3.5011
3.5011 0.0000 3.5011
3.5011 3.5011 0.0000
Sr Mn Be
1 1 1
Direct
0.0000 0.0000 0.0000 Sr
0.7500 0.7500 0.7500 Mn
0.2500 0.2500 0.2500 Be
```

# 10
Entry from Alexandria via LeMat-Bulk: a relaxed Y2TeAu crystal (PBE).

- formation energy (no corrections) (eV/atom) = -1.10
- E_tot (eV per atom) = -5.94

Structure (POSCAR):
```
Y2TeAu
1.0
2.0371 -11.8285 0.0000
2.0371 11.8285 0.0000
0.0000 0.0000 4.4782
Y Te Au
4 2 2
Direct
0.0612 0.9388 0.7500 Y
0.3313 0.6687 0.7500 Y
0.6687 0.3313 0.2500 Y
0.9388 0.0612 0.2500 Y
0.1949 0.8051 0.7500 Te
0.8051 0.1949 0.2500 Te
0.4568 0.5432 0.7500 Au
0.5432 0.4568 0.2500 Au
```

# 11
Entry from Alexandria via LeMat-Bulk: a relaxed CsGe4Cl8 crystal (PBE).

- formation energy (no corrections) (eV/atom) = -0.82
- E_tot (eV per atom) = -3.44

Structure (POSCAR):
```
CsGe4Cl8
1.0
7.1746 -4.1908 0.0000
7.1746 4.1908 0.0000
-7.0442 0.0000 7.7677
Cs Ge Cl
1 4 8
Direct
0.0000 0.0000 0.0000 Cs
0.2370 0.7630 0.5000 Ge
0.2647 0.2647 0.5281 Ge
0.7353 0.7353 0.4719 Ge
0.7630 0.2370 0.5000 Ge
0.0288 0.0288 0.6825 Cl
0.0343 0.4731 0.6833 Cl
0.4731 0.0343 0.6833 Cl
0.4866 0.4866 0.6931 Cl
0.5134 0.5134 0.3069 Cl
0.5269 0.9657 0.3167 Cl
0.9657 0.5269 0.3167 Cl
0.9712 0.9712 0.3175 Cl
```

# 12
Entry from Alexandria via LeMat-Bulk: a relaxed La3ReCl crystal (PBE).

- formation energy (no corrections) (eV/atom) = -0.08
- E_tot (eV per atom) = -5.89

Structure (POSCAR):
```
La3ReCl
1.0
5.6428 0.0000 0.0000
0.0000 5.6428 0.0000
0.0000 0.0000 5.6428
La Re Cl
3 1 1
Direct
0.0000 0.0000 0.5000 La
0.0000 0.5000 0.0000 La
0.5000 0.0000 0.0000 La
0.0000 0.0000 0.0000 Re
0.5000 0.5000 0.5000 Cl
```